(1)
Entry from Alexandria: crystalline DyTmMgTc at its relaxed geometry (PBE).

extended XYZ file:
```
4
Lattice="3.4577 0.0000 0.0000 0.0000 3.4577 0.0000 0.0000 0.0000 8.0100" Properties=species:S:1:pos:R:3 pbc="T T T"
Dy 0.0000 0.0000 0.0000
Tm 0.0000 0.0000 3.2284
Mg 1.7289 1.7289 5.5798
Tc 1.7289 1.7289 1.6480
```

Results
energy relative to the elements = -0.099 eV per atom
excess energy over the best structure of this formula in the dataset = 0.000 eV per formula unit
symmetry = No. 99

(2)
Entry from Alexandria: crystalline TcAg2Ir2 at its relaxed geometry (PBE).

extended XYZ file:
```
5
Lattice="-1.7978 1.7978 7.1173 1.7978 -1.7978 7.1173 1.7978 1.7978 -7.1173" Properties=species:S:1:pos:R:3 pbc="T T T"
Tc 0.0000 0.0000 0.0000
Ag 0.0000 0.0000 5.7422
Ag 0.0000 0.0000 8.4924
Ir 1.7978 0.0000 3.5587
Ir 0.0000 1.7978 3.5587
```

Results
energy relative to the elements = 1.076 eV per atom
excess energy over the best structure of this formula in the dataset = 0.409 eV per formula unit
symmetry = No. 139

(3)
Entry from Alexandria: crystalline Ba2NiPb at its relaxed geometry (PBE).

extended XYZ file:
```
4
Lattice="4.1902 0.0000 0.0000 0.0000 5.5439 0.0000 0.0000 0.0000 6.9245" Properties=species:S:1:pos:R:3 pbc="T T T"
Ba 0.0000 0.0000 0.0000
Ba 2.0951 2.7719 3.4021
Ni 0.0000 0.0000 3.4546
Pb 2.0951 2.7719 6.8543
```

Results
energy relative to the elements = 0.153 eV per atom
symmetry = No. 25

(4)
Entry from Alexandria: crystalline V2GeP2 at its relaxed geometry (PBE).

extended XYZ file:
```
10
Lattice="6.7837 0.0000 0.0000 0.0000 6.7837 0.0000 0.0000 0.0000 3.0313" Properties=species:S:1:pos:R:3 pbc="T T T"
V 1.0099 2.3820 0.0000
V 2.3820 5.7738 0.0000
V 4.4017 1.0099 0.0000
V 5.7738 4.4017 0.0000
Ge 0.0000 0.0000 0.0000
Ge 3.3918 3.3918 0.0000
P 0.9412 4.3330 1.5156
P 2.4507 0.9412 1.5156
P 4.3330 5.8425 1.5156
P 5.8425 2.4507 1.5156
```

Results
energy relative to the elements = -0.354 eV per atom
excess energy over the best structure of this formula in the dataset = 0.000 eV per formula unit
symmetry = No. 127

(5)
Entry from Alexandria: crystalline ThUPd6 at its relaxed geometry (PBE).

extended XYZ file:
```
8
Lattice="4.1891 0.0000 0.0000 0.0000 4.1891 0.0000 0.0000 0.0000 8.3896" Properties=species:S:1:pos:R:3 pbc="T T T"
Th 0.0000 0.0000 0.0000
U 0.0000 0.0000 4.1948
Pd 0.0000 2.0945 2.1081
Pd 0.0000 2.0945 6.2815
Pd 2.0945 0.0000 2.1081
Pd 2.0945 0.0000 6.2815
Pd 2.0945 2.0945 0.0000
Pd 2.0945 2.0945 4.1948
```

Results
energy relative to the elements = -0.706 eV per atom
symmetry = No. 123

(6)
Entry from Alexandria: crystalline SbOs2Ru2 at its relaxed geometry (PBE).

extended XYZ file:
```
10
Lattice="7.6069 0.0000 0.0000 0.0000 7.6069 0.0000 0.0000 0.0000 2.8203" Properties=species:S:1:pos:R:3 pbc="T T T"
Sb 0.0000 0.0000 0.0000
Sb 3.8035 3.8035 0.0000
Os 0.9360 2.8674 0.0000
Os 2.8674 6.6709 0.0000
Os 4.7395 0.9360 0.0000
Os 6.6709 4.7395 0.0000
Ru 1.2810 5.0844 1.4102
Ru 2.5225 1.2810 1.4102
Ru 5.0844 6.3260 1.4102
Ru 6.3260 2.5225 1.4102
```

Results
excess energy over the best structure of this formula in the dataset = 0.000 eV per formula unit
formation energy from raw total energies = 2.30 eV/f.u.
symmetry = No. 127

(7)
Entry from Alexandria: crystalline LiTl at its relaxed geometry (PBE).

extended XYZ file:
```
4
Lattice="3.3453 0.0000 0.0000 0.0000 5.1556 0.0000 0.0000 0.0000 5.2344" Properties=species:S:1:pos:R:3 pbc="T T T"
Li 0.8363 1.2889 0.5874
Li 2.5090 3.8667 4.6469
Tl 0.8363 3.8667 1.8859
Tl 2.5090 1.2889 3.3485
```

Results
energy relative to the elements = -0.165 eV per atom
symmetry = No. 59

(8)
Entry from Alexandria: crystalline Ba2InHgN at its relaxed geometry (PBE).

extended XYZ file:
```
5
Lattice="5.7565 0.0000 0.0000 0.0000 5.7565 0.0000 0.0000 0.0000 4.5677" Properties=species:S:1:pos:R:3 pbc="T T T"
Ba 0.0000 2.8782 0.0000
Ba 2.8782 0.0000 0.0000
In 0.0000 0.0000 2.2839
Hg 2.8782 2.8782 2.2839
N 0.0000 0.0000 0.0000
```

Results
formation energy from raw total energies = -1.45 eV/f.u.
symmetry = No. 123

(9)
Entry from Alexandria: crystalline NiAg2Br at its relaxed geometry (PBE).

extended XYZ file:
```
4
Lattice="-2.1080 2.1080 4.0749 2.1080 -2.1080 4.0749 2.1080 2.1080 -4.0749" Properties=species:S:1:pos:R:3 pbc="T T T"
Ni 0.0000 0.0000 0.0000
Ag 2.1080 0.0000 2.0375
Ag 0.0000 0.0000 4.0749
Br 0.0000 2.1080 2.0375
```

Results
excess energy over the best structure of this formula in the dataset = 1.246 eV per formula unit
formation energy from raw total energies = 1.89 eV/f.u.
symmetry = No. 119

(10)
Entry from Alexandria: crystalline Nd3Ni2Sn3 at its relaxed geometry (PBE).

extended XYZ file:
```
32
Lattice="8.3420 0.0000 0.0000 0.0000 15.3850 0.0000 0.0000 0.0000 6.0286" Properties=species:S:1:pos:R:3 pbc="T T T"
Nd 0.2761 1.6899 0.7352
Nd 0.2761 6.0026 0.7352
Nd 1.4489 3.8462 3.7855
Nd 2.7221 11.5387 0.7712
Nd 3.8949 9.3823 3.7495
Nd 3.8949 13.6951 3.7495
Nd 4.4471 1.6899 2.2791
Nd 4.4471 6.0026 2.2791
Nd 5.6199 3.8462 5.2574
Nd 6.8931 11.5387 2.2431
Nd 8.0659 9.3823 5.2934
Nd 8.0659 13.6951 5.2934
Ni 0.8117 9.3268 2.2955
Ni 0.8117 13.7506 2.2955
Ni 3.3593 1.6343 5.3098
Ni 3.3593 6.0582 5.3098
Ni 4.9828 9.3268 0.7188
Ni 4.9828 13.7506 0.7188
Ni 7.5303 1.6343 3.7331
Ni 7.5303 6.0582 3.7331
Sn 1.4696 11.5387 3.6686
Sn 1.5596 0.5996 3.7098
Sn 1.5596 7.0929 3.7098
Sn 2.6114 8.2920 0.6956
Sn 2.6114 14.7854 0.6956
Sn 2.7014 3.8462 0.6543
Sn 5.6406 11.5387 5.3742
Sn 5.7306 0.5996 5.3330
Sn 5.7306 7.0929 5.3330
Sn 6.7824 8.2920 2.3187
Sn 6.7824 14.7854 2.3187
Sn 6.8724 3.8462 2.3599
```

Results
energy relative to the elements = -0.645 eV per atom
excess energy over the best structure of this formula in the dataset = 0.110 eV per formula unit
symmetry = No. 62

(11)
Entry from Alexandria: crystalline BaTcHg2 at its relaxed geometry (PBE).

extended XYZ file:
```
4
Lattice="2.3909 1.3804 6.0124 -2.3909 1.3804 6.0124 0.0000 -2.7607 6.0124" Properties=species:S:1:pos:R:3 pbc="T T T"
Ba 0.0000 0.0000 0.0000
Tc 0.0000 0.0000 3.3921
Hg 0.0000 0.0000 9.7687
Hg 0.0000 0.0000 14.4233
```

Results
energy relative to the elements = 0.319 eV per atom
excess energy over the best structure of this formula in the dataset = 1.355 eV per formula unit
symmetry = No. 160

(12)
Entry from Alexandria: crystalline LaBiMo2Os at its relaxed geometry (PBE).

extended XYZ file:
```
5
Lattice="5.1125 0.0000 0.0000 0.0000 5.1125 0.0000 0.0000 0.0000 5.0238" Properties=species:S:1:pos:R:3 pbc="T T T"
La 0.0000 0.0000 0.0000
Bi 2.5562 2.5562 2.5119
Mo 0.0000 2.5562 2.5119
Mo 2.5562 0.0000 2.5119
Os 2.5562 2.5562 0.0000
```

Results
energy relative to the elements = 1.764 eV per atom
symmetry = No. 123

(13)
Entry from Alexandria: crystalline NiRu2Rh2 at its relaxed geometry (PBE).

extended XYZ file:
```
10
Lattice="7.3571 0.0000 0.0000 0.0000 7.3571 0.0000 0.0000 0.0000 2.7371" Properties=species:S:1:pos:R:3 pbc="T T T"
Ni 0.0000 0.0000 0.0000
Ni 3.6785 3.6785 0.0000
Ru 0.8961 2.7825 0.0000
Ru 2.7825 6.4610 0.0000
Ru 4.5746 0.8961 0.0000
Ru 6.4610 4.5746 0.0000
Rh 1.2799 4.9584 1.3686
Rh 2.3986 1.2799 1.3686
Rh 4.9584 6.0772 1.3686
Rh 6.0772 2.3986 1.3686
```

Results
energy relative to the elements = 0.435 eV per atom
excess energy over the best structure of this formula in the dataset = 1.892 eV per formula unit
symmetry = No. 127

(14)
Entry from Alexandria: crystalline NaCdInBr4 at its relaxed geometry (PBE).

extended XYZ file:
```
14
Lattice="7.4999 0.0000 0.0000 0.0000 7.7775 0.0000 -2.4265 0.0000 8.4399" Properties=species:S:1:pos:R:3 pbc="T T T"
Na 1.4582 1.9444 0.4920
Na 3.6152 5.8331 7.9479
Cd -0.0976 5.8331 6.9533
Cd 5.1710 1.9444 1.4866
In 0.3349 1.9444 4.7004
In 4.7384 5.8331 3.7396
Br -1.8278 0.0262 6.5326
Br -1.8278 3.8625 6.5326
Br 1.9775 5.8331 5.3631
Br 3.3820 5.8331 0.9148
Br 1.6914 1.9444 7.5251
Br 3.0959 1.9444 3.0768
Br 6.9012 3.9150 1.9073
Br 6.9012 7.7513 1.9073
```

Results
formation energy from raw total energies = -6.77 eV/f.u.
symmetry = No. 11

(15)
Entry from Alexandria: crystalline LiMgCuO2 at its relaxed geometry (PBE).

extended XYZ file:
```
10
Lattice="5.5184 0.0000 0.0000 0.0000 5.3799 0.0000 -1.8633 0.0000 5.3645" Properties=species:S:1:pos:R:3 pbc="T T T"
Li -0.4658 1.1939 1.3411
Li -1.3975 4.1860 4.0234
Mg 1.3617 2.6523 4.0234
Mg 2.2934 2.7276 1.3411
Cu 2.7592 0.0000 0.0000
Cu 1.8275 0.0000 2.6822
O 0.9739 1.6145 2.3644
O 0.0423 3.7654 5.0466
O 3.6128 1.6145 0.3179
O 2.6811 3.7654 3.0001
```

Results
formation energy from raw total energies = -8.10 eV/f.u.
symmetry = No. 13

(16)
Entry from Alexandria: crystalline PmCuAg2S4 at its relaxed geometry (PBE).

extended XYZ file:
```
16
Lattice="1.9628 -6.6324 0.0000 1.9628 6.6324 0.0000 0.0000 0.0000 12.4170" Properties=species:S:1:pos:R:3 pbc="T T T"
Pm 1.9628 5.4930 9.3128
Pm 1.9628 -5.4930 3.1043
Cu 1.9628 4.3176 3.1043
Cu 1.9628 -4.3176 9.3128
Ag 1.9628 1.6602 6.8828
Ag 1.9628 1.6602 11.7427
Ag 1.9628 -1.6602 0.6743
Ag 1.9628 -1.6602 5.5342
S 0.0000 0.0000 0.0000
S 0.0000 0.0000 6.2085
S 1.9628 2.5552 1.6124
S 1.9628 2.5552 4.5961
S 1.9628 0.9999 9.3128
S 1.9628 -0.9999 3.1043
S 1.9628 -2.5552 7.8209
S 1.9628 -2.5552 10.8046
```

Results
formation energy from raw total energies = -4.79 eV/f.u.
symmetry = No. 63

(17)
Entry from Alexandria: crystalline Pr2Si3Ir at its relaxed geometry (PBE).

extended XYZ file:
```
12
Lattice="0.0000 4.2941 7.1557 4.1447 0.0000 7.1557 4.1447 4.2941 0.0000" Properties=species:S:1:pos:R:3 pbc="T T T"
Pr 4.1447 2.1361 7.1557
Pr 2.0723 2.1470 3.5778
Pr 6.2170 6.4411 10.7335
Pr 4.1447 6.4521 7.1557
Si 6.2193 4.2941 5.9542
Si 4.1447 4.2941 4.7610
Si 6.2193 4.2941 8.3572
Si 2.0701 4.2941 5.9542
Si 4.1447 4.2941 9.5503
Si 2.0701 4.2941 8.3572
Ir 4.1447 4.2941 2.3820
Ir 4.1447 4.2941 11.9294
```

Results
formation energy from raw total energies = -5.23 eV/f.u.
symmetry = No. 69

(18)
Entry from Alexandria: crystalline Li2SiAs at its relaxed geometry (PBE).

extended XYZ file:
```
4
Lattice="-1.9366 1.9366 4.0577 1.9366 -1.9366 4.0577 1.9366 1.9366 -4.0577" Properties=species:S:1:pos:R:3 pbc="T T T"
Li 1.9366 0.0000 2.0289
Li 0.0000 1.9366 2.0289
Si 0.0000 0.0000 0.0000
As 0.0000 0.0000 4.0577
```

Results
excess energy over the best structure of this formula in the dataset = 0.051 eV per formula unit
formation energy from raw total energies = -1.13 eV/f.u.
symmetry = No. 139

(19)
Entry from Alexandria: crystalline InCoW at its relaxed geometry (PBE).

extended XYZ file:
```
3
Lattice="2.8865 0.0000 0.0000 -1.4432 2.4998 0.0000 0.0000 0.0000 6.6891" Properties=species:S:1:pos:R:3 pbc="T T T"
In 0.0000 0.0000 0.0000
Co 1.4432 0.8332 4.4691
W 0.0000 1.6665 2.5321
```

Results
energy relative to the elements = 0.438 eV per atom
symmetry = No. 156

(20)
Entry from Alexandria: crystalline HfGaSe3 at its relaxed geometry (PBE).

extended XYZ file:
```
5
Lattice="4.8606 0.0000 0.0000 0.0000 4.8606 0.0000 0.0000 0.0000 4.8606" Properties=species:S:1:pos:R:3 pbc="T T T"
Hf 0.0000 0.0000 0.0000
Ga 2.4303 2.4303 2.4303
Se 0.0000 2.4303 2.4303
Se 2.4303 0.0000 2.4303
Se 2.4303 2.4303 0.0000
```

Results
excess energy over the best structure of this formula in the dataset = 3.728 eV per formula unit
formation energy from raw total energies = 0.80 eV/f.u.
symmetry = No. 221

| no. | uncorrected energy (eV/atom) | total moment (μB per cell) |
| --- | --- | --- |
| 1 | -5.357 | 0.00 |
| 2 | -5.682 | 4.11 |
| 3 | -3.181 | 0.55 |
| 4 | -7.089 | 0.00 |
| 5 | -6.939 | 2.34 |
| 6 | -8.566 | 0.00 |
| 7 | -2.305 | 0.00 |
| 8 | -3.333 | 0.00 |
| 9 | -2.816 | 0.22 |
| 10 | -5.379 | 0.00 |
| 11 | -2.904 | 1.88 |
| 12 | -6.576 | 3.08 |
| 13 | -7.373 | 0.44 |
| 14 | -2.633 | 0.00 |
| 15 | -5.125 | 0.00 |
| 16 | -4.481 | 0.00 |
| 17 | -6.653 | 0.00 |
| 18 | -3.758 | 0.00 |
| 19 | -7.162 | 1.02 |
| 20 | -4.527 | 0.00 |